Material: YNbW2O
Method: DFT, PBE+U
State: optimized geometry

a b c (Å): 4.887 5.739 4.887
angles (deg): 90.00 90.00 90.00
Site moments in Bohr magnetons follow the coordinates.
Atoms (fractional coordinates):
1 Y 0.000 0.500 0.000  -0.09
2 Nb 0.000 0.000 0.000  -0.61
3 O 0.500 0.500 0.500  0.45
4 W 0.000 0.000 0.500  1.61
5 W 0.500 0.000 0.000  1.90

Output
uncorrected energy: -5.2319 eV/atom
size of the total moment: 0.71 μB/atom